No. 1
Compound: InSb2TePd
Source: Alexandria via LeMat-Bulk
Functional: PBE
Structure: optimized geometry

The structure in extended XYZ format:
```
5
Lattice="-2.963 -3.857 -2.002 3.512 -0.698 -3.853 2.759 -3.780 3.199" Properties=species:S:1:pos:R:3 pbc="T T T"
Sb 1.756 -0.349 -1.926
Sb -1.481 -1.928 -1.001
Te 1.380 -1.890 1.600
Pd 0.000 0.000 0.000
In 1.654 -4.167 -1.328
```

Calculated values
uncorrected formation energy: 239 meV per atom
space-group type: No. 123
DFT total energy: -3.6245 eV per atom
polymorph energy (0 for the lowest one): 0.0 kJ/mol of formula units


No. 2
Compound: K4SeF2
Source: Alexandria via LeMat-Bulk
Functional: PBE
Structure: optimized geometry

The structure in extended XYZ format:
```
7
Lattice="-2.556 -5.586 0.395 5.533 -2.586 -0.767 2.555 -4.041 7.351" Properties=species:S:1:pos:R:3 pbc="T T T"
K 2.119 -4.060 4.273
K 3.412 -8.154 2.706
K 2.767 -1.293 -0.384
K -1.278 -2.793 0.197
Se 0.000 0.000 0.000
F 1.786 -4.074 1.915
F 3.746 -8.140 5.063
```

Calculated values
uncorrected formation energy: -1658 meV per atom
space-group type: No. 139
DFT total energy: -3.3178 eV per atom
polymorph energy (0 for the lowest one): 202.9 kJ/mol of formula units


No. 3
Compound: HoOsO6
Source: Alexandria via LeMat-Bulk
Functional: PBE
Structure: optimized geometry

The structure in extended XYZ format:
```
8
Lattice="4.371 0.443 0.065 -1.215 4.222 0.065 -0.513 -0.759 4.799" Properties=species:S:1:pos:R:3 pbc="T T T"
Ho 0.000 0.000 0.000
Os 1.321 1.953 2.464
O 0.353 0.521 3.122
O 2.089 0.835 1.162
O 2.290 3.385 1.806
O 2.645 1.656 3.767
O 0.553 3.072 3.767
O -0.003 2.250 1.162
```

Calculated values
uncorrected formation energy: -1386 meV per atom
space-group type: No. 12
DFT total energy: -7.0802 eV per atom


No. 4
Compound: Nb4Te8Au
Source: Alexandria via LeMat-Bulk
Functional: PBE
Structure: optimized geometry

The structure in extended XYZ format:
```
13
Lattice="-0.068 6.724 -2.911 0.471 -5.874 -4.356 -8.110 -2.812 2.914" Properties=species:S:1:pos:R:3 pbc="T T T"
Nb 0.000 0.000 0.000
Nb -7.942 0.976 -2.175
Nb 0.202 0.425 -3.633
Nb -0.034 3.362 -1.455
Te -1.573 -1.742 -3.986
Te -6.133 -0.220 -0.367
Te -1.805 1.210 -1.827
Te -6.101 -3.592 1.066
Te -5.901 -3.172 -2.525
Te -5.868 -6.495 -1.087
Te -1.838 4.533 -3.266
Te -1.605 1.630 -5.418
Au -3.819 -4.343 -0.721
```

Calculated values
uncorrected formation energy: -339 meV per atom
space-group type: No. 166
DFT total energy: -5.6226 eV per atom


No. 5
Compound: SmSc3Ge2
Source: Alexandria via LeMat-Bulk
Functional: PBE
Structure: optimized geometry

The structure in extended XYZ format:
```
12
Lattice="-2.939 2.904 -0.887 -3.651 -7.926 -3.787 -0.519 2.004 8.285" Properties=species:S:1:pos:R:3 pbc="T T T"
Sm -5.873 -1.690 3.861
Sm -1.237 -1.328 -0.249
Sc -3.430 -2.984 1.594
Sc -6.312 -3.125 0.617
Sc -3.400 1.161 5.004
Sc -3.709 -4.179 -1.393
Sc -0.797 0.107 2.994
Sc -3.680 -0.033 2.017
Ge -5.414 -4.645 2.730
Ge -1.696 1.628 0.882
Ge -4.300 -1.488 -0.690
Ge -2.809 -1.530 4.301
```

Calculated values
space-group type: No. 12
DFT total energy: -6.0961 eV per atom
energy of formation: -3.6 eV/f.u.


No. 6
Compound: Sm2TlCo
Source: Alexandria via LeMat-Bulk
Functional: PBE
Structure: optimized geometry

The structure in extended XYZ format:
```
4
Lattice="3.845 0.000 0.000 1.923 3.330 0.000 1.923 1.110 9.700" Properties=species:S:1:pos:R:3 pbc="T T T"
Tl 0.000 0.000 0.000
Co 3.845 2.220 4.850
Sm 1.923 1.110 6.359
Sm 5.768 3.330 3.341
```

Calculated values
space-group type: No. 166
DFT total energy: -4.7234 eV per atom
energy of formation: 0.0 eV/f.u.


No. 7
Compound: AlSb3
Source: Alexandria via LeMat-Bulk
Functional: PBE
Structure: optimized geometry

The structure in extended XYZ format:
```
4
Lattice="-1.242 2.093 4.607 -4.987 0.957 1.167 -2.433 -2.878 3.598" Properties=species:S:1:pos:R:3 pbc="T T T"
Sb -2.165 0.043 2.343
Sb -4.331 0.086 4.686
Sb -6.496 0.129 7.028
Al 0.000 0.000 0.000
```

Calculated values
uncorrected formation energy: 278 meV per atom
space-group type: No. 225
DFT total energy: -3.7495 eV per atom
polymorph energy (0 for the lowest one): 87.1 kJ/mol of formula units


No. 8
Compound: Li2TbPm2In2
Source: Alexandria via LeMat-Bulk
Functional: PBE
Structure: optimized geometry

The structure in extended XYZ format:
```
7
Lattice="4.896 0.000 0.000 2.448 4.240 0.000 2.448 1.413 8.905" Properties=species:S:1:pos:R:3 pbc="T T T"
Li 4.896 2.827 1.551
Li 4.896 2.827 7.353
Tb 0.000 0.000 0.000
Pm 2.448 1.413 5.508
Pm 7.344 4.240 3.397
In 7.344 4.240 7.081
In 2.448 1.413 1.824
```

Calculated values
space-group type: No. 166
DFT total energy: -3.5883 eV per atom
energy of formation: -1.7 eV/f.u.


No. 9
Compound: Ho7Ga5Au
Source: Alexandria via LeMat-Bulk
Functional: PBE
Structure: optimized geometry

The structure in extended XYZ format:
```
13
Lattice="-6.055 1.050 -0.890 -3.389 -5.158 -4.697 -4.576 -3.812 4.968" Properties=species:S:1:pos:R:3 pbc="T T T"
Ho -6.767 -2.686 -0.457
Ho -7.503 -6.546 -0.010
Ho -4.194 -4.128 1.997
Ho -3.734 -4.649 -1.748
Ho -3.454 -1.713 -0.186
Ho -6.562 -4.108 -3.534
Ho -7.345 -3.220 2.846
Ga -8.768 -6.377 -2.767
Ga -11.590 -5.887 -3.182
Ga -9.380 -5.683 2.217
Ga -12.202 -5.193 1.802
Ga -10.463 -5.669 -0.496
Au -6.176 0.419 -0.817
```

Calculated values
space-group type: No. 44
DFT total energy: -4.2826 eV per atom
energy of formation: -5.2 eV/f.u.


No. 10
Compound: PmHo2Ag
Source: Alexandria via LeMat-Bulk
Functional: PBE
Structure: optimized geometry

The structure in extended XYZ format:
```
8
Lattice="-3.494 -0.384 -3.557 4.129 -4.926 -0.007 -4.664 -3.917 5.004" Properties=species:S:1:pos:R:3 pbc="T T T"
Pm -0.786 -5.741 -2.122
Pm -3.243 -3.485 3.562
Ho -0.805 -5.747 1.411
Ho -3.224 -3.480 0.029
Ho -2.798 -7.421 3.550
Ho -1.231 -1.806 -2.110
Ag -3.845 -6.139 0.924
Ag -0.184 -3.088 0.516
```

Calculated values
space-group type: No. 63
DFT total energy: -4.2653 eV per atom
energy of formation: -0.3 eV/f.u.
polymorph energy (0 for the lowest one): 22.7 kJ/mol of formula units


No. 11
Compound: Ac6HoTl5
Source: Alexandria via LeMat-Bulk
Functional: PBE
Structure: optimized geometry

The structure in extended XYZ format:
```
12
Lattice="5.555 0.005 -1.709 -0.917 7.767 -2.960 0.093 -0.610 10.184" Properties=species:S:1:pos:R:3 pbc="T T T"
Ac 0.593 3.112 1.937
Ac 0.146 6.904 0.492
Ac 2.536 2.043 -1.632
Ac 2.102 5.728 -3.037
Ac 4.586 0.258 5.023
Ac 4.138 4.050 3.578
Ho 0.000 0.000 0.000
Tl 1.212 6.152 3.956
Tl 3.129 4.986 0.302
Tl -0.458 3.883 -1.480
Tl 1.602 2.176 5.213
Tl 3.519 1.010 1.559
```

Calculated values
space-group type: No. 71
DFT total energy: -3.6675 eV per atom
energy of formation: -2.9 eV/f.u.


No. 12
Compound: Ho2ErTmP4
Source: Alexandria via LeMat-Bulk
Functional: PBE
Structure: optimized geometry

The structure in extended XYZ format:
```
8
Lattice="3.974 0.000 0.000 0.000 6.879 0.120 0.000 -2.405 6.445" Properties=species:S:1:pos:R:3 pbc="T T T"
Ho 1.987 -1.203 3.223
Ho 0.000 2.237 3.283
Er 1.987 3.439 0.060
Tm 0.000 0.000 0.000
P 1.987 1.115 1.628
P 1.987 3.359 4.938
P 0.000 -0.088 4.874
P 0.000 4.562 1.692
```

Calculated values
space-group type: No. 10
DFT total energy: -6.5910 eV per atom
energy of formation: -12.9 eV/f.u.


The lowest DFT total energy belongs to which entry?
HoOsO6


Which formula does entry 7 have?
AlSb3


Which of these has the highest DFT total energy?
K4SeF2